The following is a DFT calculation (GGA-PBE) of a geometry-optimized SrYZnIr2 structure.

```
SrYZnIr2
1.0
4.8146 0.0000 0.0000
0.0000 4.8146 0.0000
0.0000 0.0000 4.9186
Sr Y Zn Ir
1 1 1 2
direct
0.0000 0.0000 0.0000
0.5000 0.5000 0.0000
0.0000 0.0000 0.5000
0.0000 0.5000 0.5000
0.5000 0.0000 0.5000
```

Summary:
Energy: -5.0055 eV per atom
Energy above the most stable polymorph in this dataset: 49 meV/atom
Energy relative to the elements: 2.1 eV/f.u.

---

The following is a DFT calculation (GGA-PBE) of a geometry-optimized SrYZnIr2 structure.

```
SrYZnIr2
1.0
4.8398 0.0000 0.0000
0.0000 4.8398 0.0000
0.0000 0.0000 4.9346
Sr Y Zn Ir
1 1 1 2
direct
0.0000 0.0000 0.0000
0.5000 0.5000 0.0000
0.5000 0.5000 0.5000
0.0000 0.5000 0.5000
0.5000 0.0000 0.5000
```

Summary:
Energy: -5.0546 eV per atom
Energy above the most stable polymorph in this dataset: 0 meV/atom
Energy relative to the elements: 1.9 eV/f.u.

---

The following is a DFT calculation (GGA-PBE) of a geometry-optimized SrY2ZnIr structure.

```
SrY2ZnIr
1.0
5.3535 0.0000 0.0000
0.0000 5.3535 0.0000
0.0000 0.0000 5.8984
Sr Y Zn Ir
1 2 1 1
direct
0.0000 0.0000 0.0000
0.0000 0.5000 0.5000
0.5000 0.0000 0.5000
0.5000 0.5000 0.0000
0.0000 0.0000 0.5000
```

Summary:
Energy: -5.0748 eV per atom
Energy relative to the elements: -0.6 eV/f.u.

---

The following is a DFT calculation (GGA-PBE) of a geometry-optimized Sr2YZrIr structure.

```
Sr2YZrIr
1.0
5.6636 0.0000 0.0000
0.0000 5.6636 0.0000
0.0000 0.0000 5.2941
Sr Y Zr Ir
2 1 1 1
direct
0.0000 0.5000 0.0000
0.5000 0.0000 0.0000
0.0000 0.0000 0.5000
0.0000 0.0000 0.0000
0.5000 0.5000 0.5000
```

Summary:
Energy: -3.9993 eV per atom
Energy relative to the elements: 7.2 eV/f.u.

---

The following is a DFT calculation (GGA-PBE) of a geometry-optimized SrZn3Ir structure.

```
SrZn3Ir
1.0
4.7107 0.0000 0.0000
-2.3553 4.0796 0.0000
0.0000 0.0000 10.0246
Sr Zn Ir
2 6 2
direct
0.3333 0.6667 0.2500
0.6667 0.3333 0.7500
0.0000 0.0000 0.2500
0.0000 0.0000 0.7500
0.3333 0.6667 0.5559
0.3333 0.6667 0.9441
0.6667 0.3333 0.0559
0.6667 0.3333 0.4441
0.0000 0.0000 0.0000
0.0000 0.0000 0.5000
```

Summary:
Energy: -2.9818 eV per atom
Energy above the most stable polymorph in this dataset: 227 meV/atom
Energy relative to the elements: -0.5 eV/f.u.

---

The following is a DFT calculation (GGA-PBE) of a geometry-optimized SrZn3Ir structure.

```
SrZn3Ir
1.0
4.3116 0.0000 0.0000
-0.0018 5.5870 0.0000
-2.1342 -1.6456 8.3360
Sr Zn Ir
2 6 2
direct
0.0000 0.0000 0.0000
0.2952 0.6443 0.5895
0.1056 0.5745 0.2118
0.1967 0.0707 0.3941
0.5042 0.5124 0.0099
0.6441 0.3153 0.2892
0.7885 0.0840 0.5774
0.9139 0.4368 0.8303
0.3685 0.2033 0.7391
0.6419 0.8238 0.2844
```

Summary:
Energy: -3.1552 eV per atom
Energy above the most stable polymorph in this dataset: 53 meV/atom
Energy relative to the elements: -1.4 eV/f.u.

---

The following is a DFT calculation (GGA-PBE) of a geometry-optimized SrZnIr2 structure.

```
SrZnIr2
1.0
2.9006 0.0000 0.0000
0.0000 4.2664 0.0000
-1.0695 0.0000 6.4297
Sr Zn Ir
1 1 2
direct
0.0000 0.0000 0.0000
0.6127 0.5000 0.2991
0.2308 0.5000 0.6433
0.6801 0.0000 0.5452
```

Summary:
Energy: -5.0909 eV per atom
Energy relative to the elements: 0.3 eV/f.u.

---

The following is a DFT calculation (GGA-PBE) of a geometry-optimized Sr2ZnIr structure.

```
Sr2ZnIr
1.0
4.4557 0.0000 0.0000
0.0000 2.2687 5.6048
0.0000 -2.2687 5.6048
Sr Zn Ir
2 1 1
direct
0.0000 0.0000 0.0000
0.5000 0.2826 0.2826
0.0000 0.6937 0.6937
0.5000 0.5874 0.5874
```

Summary:
Energy: -3.6438 eV per atom
Energy relative to the elements: -1.1 eV/f.u.